Run P
# KMn2Mo

A geometry-optimized KMn2Mo structure (PBE-GGA, Alexandria).

Unit cell a=4.4559 b=4.4559 c=4.4559 alpha=60.00 beta=60.00 gamma=60.00
Positions (direct):
1 K 0.0000 0.0000 0.0000
2 Mn 0.2500 0.2500 0.2500
3 Mn 0.7500 0.7500 0.7500
4 Mo 0.5000 0.5000 0.5000

Output
The symmetry is No. 225.

=====

Run Q
# KMn2Mo

A geometry-optimized KMn2Mo structure (PBE-GGA, Alexandria).

Unit cell a=4.3936 b=4.3936 c=7.4929 alpha=93.33 beta=93.33 gamma=37.79
Positions (direct):
1 K 0.0000 0.0000 0.0000
2 Mn 0.2378 0.2378 0.6454
3 Mn 0.7622 0.7622 0.3546
4 Mo 0.5000 0.5000 0.5000

Output
The symmetry is No. 12.

=====

Run R
# KMn2Mo

A geometry-optimized KMn2Mo structure (PBE-GGA, Alexandria).

Unit cell a=2.6935 b=3.5464 c=8.3295 alpha=90.00 beta=92.56 gamma=90.00
Positions (direct):
1 K 0.0000 0.0000 0.0000
2 Mn 0.0577 0.0000 0.4593
3 Mn 0.5412 0.5000 0.3423
4 Mo 0.5820 0.5000 0.6372

Output
The symmetry is No. 6.

=====

Result of the stability comparison: run Q is the most stable of them.

=====

Run P
# KMn2Mo

A geometry-optimized KMn2Mo structure (PBE-GGA, Alexandria).

Unit cell a=8.7919 b=8.7919 c=8.7919 alpha=144.47 beta=144.47 gamma=51.13
Positions (direct):
1 K 0.3750 0.6250 0.7500
2 K 0.6250 0.3750 0.2500
3 Mn 0.0000 0.0000 0.0000
4 Mn 0.0000 0.0000 0.5000
5 Mn 0.0000 0.5000 0.0000
6 Mn 0.5000 0.0000 0.5000
7 Mo 0.1250 0.8750 0.2500
8 Mo 0.8750 0.1250 0.7500

Output
The symmetry is No. 141.

=====

Run Q
# KMn2Mo

A geometry-optimized KMn2Mo structure (PBE-GGA, Alexandria).

Unit cell a=10.0548 b=10.0548 c=10.0548 alpha=17.36 beta=17.36 gamma=17.36
Positions (direct):
1 K 0.0000 0.0000 0.0000
2 Mn 0.2307 0.2307 0.2307
3 Mn 0.7693 0.7693 0.7693
4 Mo 0.5000 0.5000 0.5000

Output
The symmetry is No. 166.

=====

Run R
# KMn2Mo

A geometry-optimized KMn2Mo structure (PBE-GGA, Alexandria).

Unit cell a=6.0950 b=6.0950 c=6.0950 alpha=154.62 beta=128.29 gamma=58.45
Positions (direct):
1 K 0.0000 0.0000 0.0000
2 Mn 0.2842 0.7842 0.5000
3 Mn 0.4947 0.4947 0.0000
4 Mo 0.7081 0.2081 0.5000

Output
The symmetry is No. 44.

=====

Result of the stability comparison: run Q is the most stable of them.

=====

Run P
# KMnMo

A geometry-optimized KMnMo structure (PBE-GGA, Alexandria).

Unit cell a=4.7669 b=4.7669 c=4.7669 alpha=60.00 beta=60.00 gamma=60.00
Positions (direct):
1 K 0.0000 0.0000 0.0000
2 Mn 0.2500 0.2500 0.2500
3 Mo 0.5000 0.5000 0.5000

Output
The symmetry is No. 216.

=====

Run Q
# KMnMo

A geometry-optimized KMnMo structure (PBE-GGA, Alexandria).

Unit cell a=5.2681 b=5.2681 c=5.2681 alpha=60.00 beta=60.00 gamma=60.00
Positions (direct):
1 K 0.0000 0.0000 0.0000
2 Mn 0.7500 0.7500 0.7500
3 Mo 0.2500 0.2500 0.2500

Output
The symmetry is No. 216.

=====

Run R
# KMnMo

A geometry-optimized KMnMo structure (PBE-GGA, Alexandria).

Unit cell a=8.3349 b=8.1595 c=2.8777 alpha=83.41 beta=76.53 gamma=20.06
Positions (direct):
1 K 0.0000 0.0000 0.0000
2 Mn 0.3093 0.3093 0.6907
3 Mo 0.6966 0.6966 0.3034

Output
The symmetry is No. 42.

=====

Run S
# KMnMo

A geometry-optimized KMnMo structure (PBE-GGA, Alexandria).

Unit cell a=5.2107 b=5.2107 c=2.6256 alpha=90.00 beta=90.00 gamma=120.00
Positions (direct):
1 K 0.0000 0.0000 0.0000
2 Mn 0.6667 0.3333 0.2904
3 Mo 0.3333 0.6667 0.7365

Output
The symmetry is No. 156.

=====

Result of the stability comparison: run R is the most stable of them.

=====

Run P
# KMnMo

A geometry-optimized KMnMo structure (PBE-GGA, Alexandria).

Unit cell a=3.1332 b=3.1332 c=7.7380 alpha=90.00 beta=90.00 gamma=120.00
Positions (direct):
1 K 0.0000 0.0000 0.0000
2 Mn 0.6667 0.3333 0.3917
3 Mo 0.3333 0.6667 0.5832

Output
The symmetry is No. 156.

=====

Run Q
# KMnMo

A geometry-optimized KMnMo structure (PBE-GGA, Alexandria).

Unit cell a=6.8431 b=6.8431 c=6.8431 alpha=155.36 beta=147.15 gamma=41.49
Positions (direct):
1 K 0.0000 0.0000 0.0000
2 Mn 0.7302 0.7302 0.0000
3 Mo 0.2679 0.2679 0.0000

Output
The symmetry is No. 44.

=====

Result of the stability comparison: run Q is the most stable of them.

=====

Run P
# KMnN2

A geometry-optimized KMnN2 structure (PBE-GGA, Alexandria).

Unit cell a=4.1384 b=4.1384 c=4.1384 alpha=60.00 beta=60.00 gamma=60.00
Positions (direct):
1 K 0.0000 0.0000 0.0000
2 Mn 0.5000 0.5000 0.5000
3 N 0.2500 0.2500 0.2500
4 N 0.7500 0.7500 0.7500

Output
The symmetry is No. 225.

=====

Run Q
# KMnN2

A geometry-optimized KMnN2 structure (PBE-GGA, Alexandria).

Unit cell a=7.0449 b=7.0449 c=7.0449 alpha=24.98 beta=24.98 gamma=24.98
Positions (direct):
1 K 0.0000 0.0000 0.0000
2 Mn 0.5000 0.5000 0.5000
3 N 0.1200 0.1200 0.1200
4 N 0.8800 0.8800 0.8800

Output
The symmetry is No. 166.

=====

Result of the stability comparison: run Q is the most stable of them.

=====

Run P
# KMnN

A geometry-optimized KMnN structure (PBE-GGA, Alexandria).

Unit cell a=10.1955 b=3.6065 c=6.6741 alpha=90.00 beta=90.00 gamma=90.00
Positions (direct):
1 K 0.1737 0.2500 0.0582
2 K 0.3263 0.7500 0.5582
3 K 0.6737 0.2500 0.4418
4 K 0.8263 0.7500 0.9418
5 Mn 0.0302 0.2500 0.6044
6 Mn 0.4698 0.7500 0.1044
7 Mn 0.5302 0.2500 0.8956
8 Mn 0.9698 0.7500 0.3956
9 N 0.0454 0.7500 0.6563
10 N 0.4546 0.2500 0.1563
11 N 0.5454 0.7500 0.8437
12 N 0.9546 0.2500 0.3437

Output
The symmetry is No. 62.

=====

Run Q
# KMnN

A geometry-optimized KMnN structure (PBE-GGA, Alexandria).

Unit cell a=4.3152 b=4.3152 c=3.6231 alpha=90.00 beta=90.00 gamma=90.00
Positions (direct):
1 K 0.0000 0.0000 0.0000
2 Mn 0.5000 0.5000 0.5000
3 N 0.5000 0.5000 0.0000

Output
The symmetry is No. 123.

=====

Result of the stability comparison: run P is the most stable of them.

=====

Run P
# K2MnN2

A geometry-optimized K2MnN2 structure (PBE-GGA, Alexandria).

Unit cell a=6.0635 b=5.5091 c=12.1944 alpha=90.00 beta=90.00 gamma=90.00
Positions (direct):
1 K 0.1110 0.2500 0.1762
2 K 0.2125 0.2500 0.5323
3 K 0.2875 0.7500 0.0323
4 K 0.3890 0.7500 0.6762
5 K 0.6110 0.2500 0.3238
6 K 0.7125 0.2500 0.9677
7 K 0.7875 0.7500 0.4677
8 K 0.8890 0.7500 0.8238
9 Mn 0.2318 0.2500 0.8218
10 Mn 0.2682 0.7500 0.3218
11 Mn 0.7318 0.2500 0.6782
12 Mn 0.7682 0.7500 0.1782
13 N 0.0171 0.7500 0.2509
14 N 0.2295 0.2500 0.9555
15 N 0.2705 0.7500 0.4555
16 N 0.4829 0.2500 0.7509
17 N 0.5171 0.7500 0.2491
18 N 0.7295 0.2500 0.5445
19 N 0.7705 0.7500 0.0445
20 N 0.9829 0.2500 0.7491

Output
The symmetry is No. 62.

=====

Run Q
# K2MnN2

A geometry-optimized K2MnN2 structure (PBE-GGA, Alexandria).

Unit cell a=9.6110 b=9.6110 c=6.0324 alpha=90.00 beta=90.00 gamma=160.21
Positions (direct):
1 K 0.0279 0.9721 0.5000
2 K 0.1981 0.8019 0.3481
3 K 0.8019 0.1981 0.8481
4 K 0.9721 0.0279 0.0000
5 Mn 0.3699 0.6301 0.4181
6 Mn 0.6301 0.3699 0.9181
7 N 0.1535 0.8465 0.8154
8 N 0.4112 0.5888 0.6535
9 N 0.5888 0.4112 0.1535
10 N 0.8465 0.1535 0.3154

Output
The symmetry is No. 36.

=====

Result of the stability comparison: run P is the most stable of them.

=====

Run P
# KMn3N

A geometry-optimized KMn3N structure (PBE-GGA, Alexandria).

Unit cell a=4.2943 b=4.2943 c=4.2943 alpha=90.00 beta=90.00 gamma=90.00
Positions (direct):
1 K 0.0000 0.0000 0.0000
2 Mn 0.0000 0.5000 0.5000
3 Mn 0.5000 0.0000 0.5000
4 Mn 0.5000 0.5000 0.0000
5 N 0.5000 0.5000 0.5000

Output
The symmetry is No. 221.

=====

Run Q
# KMn3N

A geometry-optimized KMn3N structure (PBE-GGA, Alexandria).

Unit cell a=4.8788 b=4.8788 c=4.8788 alpha=90.00 beta=90.00 gamma=90.00
Positions (direct):
1 K 0.0000 0.0000 0.0000
2 Mn 0.0000 0.0000 0.5000
3 Mn 0.0000 0.5000 0.0000
4 Mn 0.5000 0.0000 0.0000
5 N 0.5000 0.5000 0.5000

Output
The symmetry is No. 221.

=====

Result of the stability comparison: run P is the most stable of them.

=====

Run P
# KNa2Mn

A geometry-optimized KNa2Mn structure (PBE-GGA, Alexandria).

Unit cell a=12.7263 b=12.7263 c=12.7263 alpha=157.24 beta=157.24 gamma=32.41
Positions (direct):
1 K 0.0000 0.0000 0.0000
2 K 0.7500 0.2500 0.5000
3 Na 0.1603 0.6250 0.0353
4 Na 0.3750 0.4103 0.5353
5 Na 0.5897 0.1250 0.9647
6 Na 0.8750 0.8397 0.4647
7 Mn 0.2500 0.7500 0.5000
8 Mn 0.5000 0.5000 0.0000

Output
The symmetry is No. 122.

=====

Run Q
# KNa2Mn

A geometry-optimized KNa2Mn structure (PBE-GGA, Alexandria).

Unit cell a=5.8114 b=5.8114 c=5.8114 alpha=60.00 beta=60.00 gamma=60.00
Positions (direct):
1 K 0.0000 0.0000 0.0000
2 Na 0.2500 0.2500 0.2500
3 Na 0.7500 0.7500 0.7500
4 Mn 0.5000 0.5000 0.5000

Output
The symmetry is No. 225.

=====

Result of the stability comparison: run Q is the most stable of them.